Here is an optimized crystal structure of Rb4Pu3HfTe8 from Alexandria via LeMat-Bulk. Energies are from PBE.

```
Rb4Pu3HfTe8
1.0
4.5274 2.6139 8.5278
-4.5274 2.6139 8.5278
0.0000 -5.2278 8.5278
Rb Pu Hf Te
4 3 1 8
direct
0.0000 0.0000 0.0000
0.0000 0.5000 0.5000
0.5000 0.0000 0.5000
0.5000 0.5000 0.0000
0.0000 0.0000 0.5000
0.0000 0.5000 0.0000
0.5000 0.0000 0.0000
0.5000 0.5000 0.5000
0.2343 0.2343 0.2343
0.2528 0.7212 0.7212
0.2788 0.2788 0.7472
0.2788 0.7472 0.2788
0.7212 0.2528 0.7212
0.7212 0.7212 0.2528
0.7472 0.2788 0.2788
0.7657 0.7657 0.7657
```

Space-group type ... R-3m (166)
Density ... 6.23 Mg/m³
Uncorrected energy ... -6.18 eV/atom
DOS(E_F) ... 40.26 states/eV/cell
Uncorrected formation energy ... -16.9 eV per formula unit